# Na2LiAu2

Na2LiAu2 after structural relaxation (PBE-GGA, Alexandria via LeMat-Bulk).

abc: 6.9844 6.9844 4.5935
angles: 90.00 90.00 90.00
Closest atoms and distances in Å follow each position.
Fractional coordinates of all 10 atoms:
1 Na 0.1635 0.6635 0.5000  6 Au 2.99-3.14, 1 Na 3.23
2 Na 0.6635 0.8365 0.5000  6 Au 2.99-3.14, 1 Na 3.23
3 Na 0.8365 0.3365 0.5000  6 Au 2.99-3.14, 1 Na 3.23
4 Na 0.3365 0.1635 0.5000  6 Au 2.99-3.14, 1 Na 3.23
5 Au 0.3580 0.8580 0.0000  2 Li 2.69, 1 Au 2.80, 2 Na 2.99
6 Au 0.8580 0.6420 0.0000  2 Li 2.69, 1 Au 2.80, 2 Na 2.99
7 Au 0.6420 0.1420 0.0000  2 Li 2.69, 1 Au 2.80, 2 Na 2.99
8 Au 0.1420 0.3580 0.0000  2 Li 2.69, 1 Au 2.80, 2 Na 2.99
9 Li 0.0000 0.0000 0.0000  4 Au 2.69
10 Li 0.5000 0.5000 0.0000  4 Au 2.69

Results
For the energy above the most stable polymorph in this dataset, the calculation gives 76 meV/atom. As for the space group: P4/mbm, No. 127. The formation energy comes out at -1.57 eV/f.u. The value obtained for the density of states at the Fermi level is 1.08 states/eV/f.u. The calculation puts the total energy at -2.535 eV per atom.


# NaLiAu2

NaLiAu2 after structural relaxation (PBE-GGA, Alexandria via LeMat-Bulk).

abc: 4.0537 4.2385 4.2385
angles: 90.00 90.00 90.00
Closest atoms and distances in Å follow each position.
Fractional coordinates of all 4 atoms:
1 Na 0.5000 0.5000 0.5000  8 Au 2.93, 4 Li 3.00
2 Au 0.0000 0.0000 0.5000  4 Li 2.93, 4 Na 2.93, 4 Au 3.00
3 Au 0.0000 0.5000 0.0000  4 Li 2.93, 4 Na 2.93, 4 Au 3.00
4 Li 0.5000 0.0000 0.0000  8 Au 2.93, 4 Na 3.00

Results
For the energy above the most stable polymorph in this dataset, the calculation gives 53 meV/atom. As for the space group: P4/mmm, No. 123. The formation energy comes out at -1.37 eV/f.u. The value obtained for the density of states at the Fermi level is 0.94 states/eV/f.u. The calculation puts the total energy at -2.789 eV per atom.


# NaLi8Au2

NaLi8Au2 after structural relaxation (PBE-GGA, Alexandria via LeMat-Bulk).

abc: 5.0706 7.1469 7.1469
angles: 112.82 80.77 80.77
Closest atoms and distances in Å follow each position.
Fractional coordinates of all 11 atoms:
1 Na 0.5000 0.0000 0.0000  12 Li 3.08-3.35
2 Li 0.9081 0.0708 0.3332  2 Au 2.62-2.64
3 Li 0.9081 0.3332 0.0708  2 Au 2.62-2.64
4 Li 0.2908 0.4100 0.4100  2 Au 2.66, 2 Li 2.88
5 Li 0.5000 0.2586 0.7414  2 Au 2.61
6 Li 0.5000 0.7414 0.2586  2 Au 2.61
7 Li 0.7092 0.5900 0.5900  2 Au 2.66, 2 Li 2.88
8 Li 0.0919 0.6668 0.9292  2 Au 2.62-2.64
9 Li 0.0919 0.9292 0.6668  2 Au 2.62-2.64
10 Au 0.0000 0.6878 0.3122  8 Li 2.61-2.66
11 Au 0.0000 0.3122 0.6878  8 Li 2.61-2.66

Results
As for the space group: C2/m, No. 12. The formation energy comes out at -2.34 eV/f.u. The value obtained for the density of states at the Fermi level is 3.15 states/eV/f.u. The calculation puts the total energy at -2.321 eV per atom.


# Na2LiAu2

Na2LiAu2 after structural relaxation (PBE-GGA, Alexandria via LeMat-Bulk).

abc: 4.4533 5.5210 5.7770
angles: 118.54 112.67 90.00
Closest atoms and distances in Å follow each position.
Fractional coordinates of all 5 atoms:
1 Na 0.8026 0.3026 0.6053  6 Au 3.10-3.17, 2 Li 3.30
2 Na 0.1974 0.6974 0.3947  6 Au 3.10-3.17, 2 Li 3.30
3 Li 0.0000 0.0000 0.0000  4 Au 2.63
4 Au 0.5000 0.7458 0.0000  2 Li 2.63, 2 Au 2.71-2.81
5 Au 0.5000 0.2542 0.0000  2 Li 2.63, 2 Au 2.71-2.81

Results
For the energy above the most stable polymorph in this dataset, the calculation gives 0 meV/atom. As for the space group: Immm, No. 71. The formation energy comes out at -1.94 eV/f.u. The value obtained for the density of states at the Fermi level is 1.11 states/eV/f.u. The calculation puts the total energy at -2.610 eV per atom.


# NaLi3Au2

NaLi3Au2 after structural relaxation (PBE-GGA, Alexandria via LeMat-Bulk).

abc: 4.4534 7.1336 8.5097
angles: 117.68 90.00 108.19
Closest atoms and distances in Å follow each position.
Fractional coordinates of all 12 atoms:
1 Na 0.8635 0.7270 0.9780  5 Li 3.03-3.25, 7 Au 3.05-3.34
2 Na 0.1365 0.2730 0.0220  5 Li 3.03-3.25, 7 Au 3.05-3.34
3 Li 0.2826 0.5653 0.4518  4 Li 2.67-2.95, 4 Au 2.67-2.95
4 Li 0.9553 0.9106 0.6293  3 Au 2.61-2.79, 2 Li 2.74
5 Li 0.5904 0.1808 0.7200  3 Au 2.59-2.68, 3 Li 2.74-2.75
6 Li 0.4096 0.8192 0.2800  3 Au 2.59-2.68, 3 Li 2.74-2.75
7 Li 0.0447 0.0894 0.3707  3 Au 2.61-2.79, 2 Li 2.74
8 Li 0.7174 0.4347 0.5482  4 Li 2.67-2.95, 4 Au 2.67-2.95
9 Au 0.4304 0.8607 0.8041  4 Li 2.59-2.79, 1 Au 2.86
10 Au 0.5696 0.1393 0.1959  4 Li 2.59-2.79, 1 Au 2.86
11 Au 0.8025 0.6051 0.2885  5 Li 2.61-2.71, 1 Au 2.86
12 Au 0.1975 0.3949 0.7115  5 Li 2.61-2.71, 1 Au 2.86

Results
For the energy above the most stable polymorph in this dataset, the calculation gives 0 meV/atom. As for the space group: C2/m, No. 12. The formation energy comes out at -2.26 eV/f.u. The value obtained for the density of states at the Fermi level is 1.79 states/eV/f.u. The calculation puts the total energy at -2.646 eV per atom.


# NaLiAu2

NaLiAu2 after structural relaxation (PBE-GGA, Alexandria via LeMat-Bulk).

abc: 3.2137 3.2137 7.0998
angles: 90.00 90.00 90.00
Closest atoms and distances in Å follow each position.
Fractional coordinates of all 4 atoms:
1 Na 0.5000 0.5000 0.5000  8 Au 3.06, 4 Na 3.21
2 Au 0.0000 0.0000 0.7897  4 Li 2.72, 1 Au 2.99
3 Au 0.0000 0.0000 0.2103  4 Li 2.72, 1 Au 2.99
4 Li 0.5000 0.5000 0.0000  8 Au 2.72

Results
For the energy above the most stable polymorph in this dataset, the calculation gives 0 meV/atom. As for the space group: P4/mmm, No. 123. The formation energy comes out at -1.58 eV/f.u. The value obtained for the density of states at the Fermi level is 0.82 states/eV/f.u. The calculation puts the total energy at -2.842 eV per atom.